# LiAl2Pb (GGA-PBEsol, optimized geometry)
data_LiAl2Pb
_cell_length_a 4.123
_cell_length_b 4.123
_cell_length_c 4.622
_cell_angle_alpha 90.00
_cell_angle_beta 90.00
_cell_angle_gamma 90.00
_symmetry_space_group_name_H-M 'P 4/m m m'
_symmetry_Int_Tables_number 123
_symmetry_space_group_name_Hall '-P 4 2'
loop_
_atom_site_label
_atom_site_fract_x
_atom_site_fract_y
_atom_site_fract_z
_atom_site_occupancy
Li1 0.000 0.000 0.000 1
Al1 0.000 0.500 0.500 1
Pb1 0.500 0.500 0.000 1
# - Spin magnetization: 0.0 μB/cell
# - Calculated total energy: -3.529 eV per atom
# - Energy of formation: 0.0083 eV/atom


# LiAlPb (GGA-PBEsol, optimized geometry)
data_LiAlPb
_cell_length_a 3.214
_cell_length_b 3.214
_cell_length_c 12.451
_cell_angle_alpha 90.00
_cell_angle_beta 90.00
_cell_angle_gamma 90.00
_symmetry_space_group_name_H-M 'I 4 m m'
_symmetry_Int_Tables_number 107
_symmetry_space_group_name_Hall 'I 4 -2'
loop_
_atom_site_label
_atom_site_fract_x
_atom_site_fract_y
_atom_site_fract_z
_atom_site_occupancy
Li1 0.000 0.000 0.000 1
Al1 0.000 0.000 0.645 1
Pb1 0.000 0.000 0.321 1
# - Spin magnetization: 0.0 μB/cell
# - Calculated total energy: -3.331 eV per atom
# - Energy of formation: 0.0216 eV/atom


# LiAl2Pb (GGA-PBEsol, optimized geometry)
data_LiAl2Pb
_cell_length_a 3.205
_cell_length_b 4.523
_cell_length_c 5.681
_cell_angle_alpha 90.00
_cell_angle_beta 90.00
_cell_angle_gamma 90.00
_symmetry_space_group_name_H-M 'P m m m'
_symmetry_Int_Tables_number 47
_symmetry_space_group_name_Hall '-P 2 2'
loop_
_atom_site_label
_atom_site_fract_x
_atom_site_fract_y
_atom_site_fract_z
_atom_site_occupancy
Li1 0.000 0.000 0.000 1
Al1 0.500 0.500 0.238 1
Pb1 0.000 0.000 0.500 1
# - Spin magnetization: 0.0 μB/cell
# - Calculated total energy: -3.439 eV per atom
# - Energy of formation: 0.0982 eV/atom


# LiAl2Pb (GGA-PBEsol, optimized geometry)
data_LiAl2Pb
_cell_length_a 4.072
_cell_length_b 4.072
_cell_length_c 9.421
_cell_angle_alpha 90.00
_cell_angle_beta 90.00
_cell_angle_gamma 90.00
_symmetry_space_group_name_H-M 'I 4/m m m'
_symmetry_Int_Tables_number 139
_symmetry_space_group_name_Hall '-I 4 2'
loop_
_atom_site_label
_atom_site_fract_x
_atom_site_fract_y
_atom_site_fract_z
_atom_site_occupancy
Li1 0.000 0.000 0.000 1
Al1 0.000 0.500 0.250 1
Pb1 0.000 0.000 0.500 1
# - Spin magnetization: 0.0 μB/cell
# - Calculated total energy: -3.519 eV per atom
# - Energy of formation: 0.0185 eV/atom


# LiAlPb (GGA-PBEsol, optimized geometry)
data_LiAlPb
_cell_length_a 3.384
_cell_length_b 4.140
_cell_length_c 9.076
_cell_angle_alpha 90.00
_cell_angle_beta 90.00
_cell_angle_gamma 90.00
_symmetry_space_group_name_H-M 'I m m 2'
_symmetry_Int_Tables_number 44
_symmetry_space_group_name_Hall 'I 2 -2'
loop_
_atom_site_label
_atom_site_fract_x
_atom_site_fract_y
_atom_site_fract_z
_atom_site_occupancy
Li1 0.000 0.000 0.000 1
Al1 0.000 0.000 0.335 1
Pb1 0.000 0.000 0.670 1
# - Spin magnetization: 0.0 μB/cell
# - Calculated total energy: -3.366 eV per atom
# - Energy of formation: -0.0135 eV/atom


# Li2AlPd (GGA-PBEsol, optimized geometry)
data_Li2AlPd
_cell_length_a 6.036
_cell_length_b 6.036
_cell_length_c 6.036
_cell_angle_alpha 90.00
_cell_angle_beta 90.00
_cell_angle_gamma 90.00
_symmetry_space_group_name_H-M 'F -4 3 m'
_symmetry_Int_Tables_number 216
_symmetry_space_group_name_Hall 'F -4 2 3'
loop_
_atom_site_label
_atom_site_fract_x
_atom_site_fract_y
_atom_site_fract_z
_atom_site_occupancy
Li1 0.000 0.000 0.000 1
Li2 0.250 0.250 0.250 1
Al1 0.000 0.000 0.500 1
Pd1 0.250 0.250 0.750 1
# - Spin magnetization: 0.0 μB/cell
# - Calculated total energy: -4.006 eV per atom
# - Energy of formation: -0.5101 eV/atom


# LiAl3Pd (GGA-PBEsol, optimized geometry)
data_LiAl3Pd
_cell_length_a 4.716
_cell_length_b 4.716
_cell_length_c 4.716
_cell_angle_alpha 90.00
_cell_angle_beta 90.00
_cell_angle_gamma 90.00
_symmetry_space_group_name_H-M 'P m -3 m'
_symmetry_Int_Tables_number 221
_symmetry_space_group_name_Hall '-P 4 2 3'
loop_
_atom_site_label
_atom_site_fract_x
_atom_site_fract_y
_atom_site_fract_z
_atom_site_occupancy
Li1 0.000 0.000 0.000 1
Al1 0.000 0.500 0.500 1
Pd1 0.500 0.500 0.500 1
# - Spin magnetization: 0.0 μB/cell
# - Calculated total energy: -4.089 eV per atom
# - Energy of formation: -0.0489 eV/atom


# Li2AlPd (GGA-PBEsol, optimized geometry)
data_Li2AlPd
_cell_length_a 3.561
_cell_length_b 3.561
_cell_length_c 19.370
_cell_angle_alpha 90.00
_cell_angle_beta 90.00
_cell_angle_gamma 90.00
_symmetry_space_group_name_H-M 'I -4 2 d'
_symmetry_Int_Tables_number 122
_symmetry_space_group_name_Hall 'I -4 2bw'
loop_
_atom_site_label
_atom_site_fract_x
_atom_site_fract_y
_atom_site_fract_z
_atom_site_occupancy
Li1 0.238 0.250 0.125 1
Al1 0.000 0.000 0.500 1
Pd1 0.000 0.000 0.000 1
# - Spin magnetization: 0.0 μB/cell
# - Calculated total energy: -3.753 eV per atom
# - Energy of formation: -0.2575 eV/atom